# 1
Material: SrNi4Ge2
Method: DFT, GGA-PBE
State: optimized geometry

It has space group P4_2/mnm (No. 136), with a = 7.541 Å, b = 7.541 Å, c = 3.727 Å, α = 90.00°, β = 90.00° and γ = 90.00°. The distinct sites, in fractional coordinates, are Sr at (0.000, 0.000, 0.000), Ni at (0.081, 0.347, 0.500) and Ge at (0.225, 0.775, 0.500).

The crystal system is tetragonal. Its formation energy is -323 meV per atom. The value obtained for the density of states at the Fermi level is 11.61 states/eV per cell. The total energy comes out at -72.6 eV/cell.

***

# 2
Material: Er4NpO10
Method: DFT, GGA-PBE
State: optimized geometry

It has space group I4/m (No. 87), with a = 8.426 Å, b = 8.426 Å, c = 5.264 Å, α = 90.00°, β = 90.00° and γ = 90.00°. The distinct sites, in fractional coordinates, are Er at (0.098, 0.301, 0.000), Np at (0.000, 0.000, 0.500), O at (0.000, 0.500, 0.250) and O at (0.098, 0.812, 0.262).

The crystal system is tetragonal. The value obtained for the density of states at the Fermi level is 14.09 states/eV per cell. The total energy comes out at -256.1 eV/cell. For the formation energy from raw total energies, the calculation gives -3.153 eV per atom.

***

# 3
Material: MnAgHg2B
Method: DFT, GGA-PBE
State: optimized geometry

It has space group P4/mmm (No. 123), with a = 5.165 Å, b = 5.165 Å, c = 5.056 Å, α = 90.00°, β = 90.00° and γ = 90.00°. The distinct sites, in fractional coordinates, are Mn at (0.000, 0.000, 0.000), Ag at (0.000, 0.000, 0.500), Hg at (0.000, 0.500, 0.000) and B at (0.500, 0.500, 0.500).

The crystal system is tetragonal. Its formation energy is 1512 meV per atom. The value obtained for the density of states at the Fermi level is 5.19 states/eV per cell. The total energy comes out at -11.7 eV/cell.

***

# 4
Material: PaSi3Ir2
Method: DFT, GGA-PBE
State: optimized geometry

It has space group C2/m (No. 12), with a = 15.226 Å, b = 4.123 Å, c = 7.018 Å, α = 90.00°, β = 114.13° and γ = 90.00°. The distinct sites, in fractional coordinates, are Pa at (0.128, 0.000, 0.158), Si at (0.043, 0.000, 0.676), Si at (0.159, 0.500, 0.477), Si at (0.177, 0.500, 0.886), Ir at (0.007, 0.500, 0.814) and Ir at (0.213, 0.000, 0.719).

The crystal system is monoclinic. The value obtained for the density of states at the Fermi level is 13.97 states/eV per cell. The total energy comes out at -190.0 eV/cell. For the formation energy from raw total energies, the calculation gives -0.670 eV per atom.

***

# 5
Material: Ho4MgAl2Zn
Method: DFT, GGA-PBE
State: optimized geometry

It has space group R-3m (No. 166, hexagonal axes), with a = 5.1125 Å, b = 5.1125 Å, c = 25.0763 Å, α = 90.00°, β = 90.00° and γ = 120.00°. The distinct sites, in fractional coordinates, are Ho at (0.0000, 0.0000, 0.1204), Ho at (0.0000, 0.0000, 0.3709), Mg at (0.0000, 0.0000, 0.5000), Al at (0.0000, 0.0000, 0.2457) and Zn at (0.0000, 0.0000, 0.0000).

The crystal system is trigonal. Its formation energy is -333 meV per atom. The value obtained for the density of states at the Fermi level is 15.65 states/eV per cell. The total energy comes out at -94.0 eV/cell.

***

# 6
Material: NpBeP
Method: DFT, GGA-PBE
State: optimized geometry

It has space group P6_3/mmc (No. 194), with a = 3.6660 Å, b = 3.6660 Å, c = 8.1296 Å, α = 90.00°, β = 90.00° and γ = 120.00°. The distinct sites, in fractional coordinates, are Np at (0.0000, 0.0000, 0.0000), Be at (0.3333, 0.6667, 0.2500) and P at (0.3333, 0.6667, 0.7500).

The crystal system is hexagonal. Its formation energy is -582 meV per atom. The value obtained for the density of states at the Fermi level is 9.72 states/eV per cell. The total energy comes out at -47.6 eV/cell.

***

# 7
Material: PmNd4Ho2
Method: DFT, GGA-PBE
State: optimized geometry

It has space group Cc (No. 9), with a = 6.497 Å, b = 24.396 Å, c = 6.851 Å, α = 90.00°, β = 118.29° and γ = 90.00°. The distinct sites, in fractional coordinates, are Pm at (0.000, 0.125, 0.000), Nd at (0.060, 0.304, 0.600), Nd at (0.102, 0.268, 0.130), Nd at (0.461, 0.054, 0.901), Nd at (0.472, 0.481, 0.871), Ho at (0.034, 0.409, 0.949) and Ho at (0.085, 0.159, 0.551).

The crystal system is monoclinic. Its formation energy is 61 meV per atom. The value obtained for the density of states at the Fermi level is 42.47 states/eV per cell. The total energy comes out at -130.2 eV/cell.

***

# 8
Material: Li2Mn
Method: DFT, GGA-PBE
State: optimized geometry

It has space group I4/mmm (No. 139), with a = 3.234 Å, b = 3.234 Å, c = 9.307 Å, α = 90.00°, β = 90.00° and γ = 90.00°. The distinct sites, in fractional coordinates, are Li at (0.000, 0.000, 0.168) and Mn at (0.000, 0.000, 0.500).

The crystal system is tetragonal. Its formation energy is 367 meV per atom. The value obtained for the density of states at the Fermi level is 2.69 states/eV per cell. The total energy comes out at -23.8 eV/cell.

***

# 9
Material: Sc8HC4O3
Method: DFT, GGA-PBE
State: optimized geometry

It has space group R-3m (No. 166, hexagonal axes), with a = 6.5345 Å, b = 6.5345 Å, c = 15.8946 Å, α = 90.00°, β = 90.00° and γ = 120.00°. The distinct sites, in fractional coordinates, are Sc at (0.0000, 0.0000, 0.2457), Sc at (0.0084, 0.5042, 0.2451), H at (0.0000, 0.0000, 0.0000), C at (0.0000, 0.0000, 0.5000), C at (0.0000, 0.5000, 0.5000) and O at (0.0000, 0.5000, 0.0000).

The crystal system is trigonal. The value obtained for the density of states at the Fermi level is 11.68 states/eV per cell. The total energy comes out at -392.6 eV/cell.

***

# 10
Material: CaNd14Ho
Method: DFT, GGA-PBE
State: optimized geometry

It has space group Amm2 (No. 38), with a = 11.410 Å, b = 8.768 Å, c = 11.267 Å, α = 90.00°, β = 90.00° and γ = 90.00°. The distinct sites, in fractional coordinates, are Ca at (0.000, 0.000, 0.000), Nd at (0.000, 0.208, 0.722), Nd at (0.233, 0.000, 0.226), Nd at (0.256, 0.215, 0.935), Nd at (0.261, 0.000, 0.655), Nd at (0.500, 0.000, 0.439), Nd at (0.500, 0.000, 0.861), Nd at (0.500, 0.203, 0.155) and Ho at (0.000, 0.000, 0.445).

The crystal system is orthorhombic. Its formation energy is 64 meV per atom. The value obtained for the density of states at the Fermi level is 44.29 states/eV per cell. The total energy comes out at -144.6 eV/cell.

***

# 11
Material: CsScSe2Br
Method: DFT, GGA-PBE
State: optimized geometry

It has space group P4/mmm (No. 123), with a = 5.699 Å, b = 5.699 Å, c = 6.202 Å, α = 90.00°, β = 90.00° and γ = 90.00°. The distinct sites, in fractional coordinates, are Cs at (0.000, 0.000, 0.000), Sc at (0.500, 0.500, 0.500), Se at (0.000, 0.500, 0.000) and Br at (0.000, 0.000, 0.500).

The crystal system is tetragonal. The value obtained for the density of states at the Fermi level is 7.04 states/eV per cell. The total energy comes out at -13.3 eV/cell. For the formation energy from raw total energies, the calculation gives 0.506 eV per atom.

***

# 12
Material: LiMgCd3
Method: DFT, GGA-PBE
State: optimized geometry

It has space group Pm-3m (No. 221), with a = 4.871 Å, b = 4.871 Å, c = 4.871 Å, α = 90.00°, β = 90.00° and γ = 90.00°. The distinct sites, in fractional coordinates, are Li at (0.000, 0.000, 0.000), Mg at (0.500, 0.500, 0.500) and Cd at (0.000, 0.000, 0.500).

The crystal system is cubic. Its formation energy is 193 meV per atom. The value obtained for the density of states at the Fermi level is 1.65 states/eV per cell. The total energy comes out at -5.3 eV/cell.

***

# 13
Material: PtAu2Cl6
Method: DFT, GGA-PBE
State: optimized geometry

It has space group C2/c (No. 15), with a = 13.645 Å, b = 11.410 Å, c = 7.144 Å, α = 90.00°, β = 111.82° and γ = 90.00°. The distinct sites, in fractional coordinates, are Pt at (0.000, 0.002, 0.250), Au at (0.245, 0.427, 0.817), Cl at (0.128, 0.142, 0.845), Cl at (0.128, 0.146, 0.333) and Cl at (0.129, 0.498, 0.482).

The crystal system is monoclinic. The value obtained for the density of states at the Fermi level is 25.56 states/eV per cell. The total energy comes out at -103.4 eV/cell. For the formation energy from raw total energies, the calculation gives -0.243 eV per atom.

***

# 14
Material: CoMoPS2
Method: DFT, GGA-PBE
State: optimized geometry

It has space group P4/mmm (No. 123), with a = 4.612 Å, b = 4.612 Å, c = 4.802 Å, α = 90.00°, β = 90.00° and γ = 90.00°. The distinct sites, in fractional coordinates, are Co at (0.000, 0.000, 0.000), Mo at (0.500, 0.500, 0.500), P at (0.500, 0.500, 0.000) and S at (0.000, 0.500, 0.500).

The crystal system is tetragonal. The value obtained for the density of states at the Fermi level is 7.89 states/eV per cell. The total energy comes out at -27.8 eV/cell. For the formation energy from raw total energies, the calculation gives 0.764 eV per atom.

***

# 15
Material: Cs2Er2PbO6
Method: DFT, GGA-PBE
State: optimized geometry

It has space group C2/m (No. 12), with a = 5.990 Å, b = 10.379 Å, c = 7.308 Å, α = 90.00°, β = 105.52° and γ = 90.00°. The distinct sites, in fractional coordinates, are Cs at (0.000, 0.166, 0.000), Er at (0.000, 0.334, 0.500), Pb at (0.000, 0.000, 0.500), O at (0.216, 0.167, 0.659) and O at (0.227, 0.500, 0.658).

The crystal system is monoclinic. The value obtained for the density of states at the Fermi level is 0.00 states/eV per cell. The total energy comes out at -137.6 eV/cell. For the formation energy from raw total energies, the calculation gives -2.229 eV per atom.

***

# 16
Material: SrSiAg3
Method: DFT, GGA-PBE
State: optimized geometry

It has space group Pm-3m (No. 221), with a = 4.919 Å, b = 4.919 Å, c = 4.919 Å, α = 90.00°, β = 90.00° and γ = 90.00°. The distinct sites, in fractional coordinates, are Sr at (0.000, 0.000, 0.000), Si at (0.500, 0.500, 0.500) and Ag at (0.000, 0.500, 0.500).

The crystal system is cubic. The value obtained for the density of states at the Fermi level is 1.66 states/eV per cell. The total energy comes out at -16.1 eV/cell. For the formation energy from raw total energies, the calculation gives -0.089 eV per atom.

***

# 17
Material: Dy2MgZn3Au4
Method: DFT, GGA-PBE
State: optimized geometry

It has space group P-4m2 (No. 115), with a = 4.108 Å, b = 4.108 Å, c = 11.961 Å, α = 90.00°, β = 90.00° and γ = 90.00°. The distinct sites, in fractional coordinates, are Dy at (0.000, 0.500, 0.235), Mg at (0.000, 0.000, 0.500), Zn at (0.000, 0.500, 0.863), Zn at (0.500, 0.500, 0.500), Au at (0.000, 0.000, 0.000), Au at (0.000, 0.500, 0.651) and Au at (0.500, 0.500, 0.000).

The crystal system is tetragonal. Its formation energy is -518 meV per atom. The value obtained for the density of states at the Fermi level is 5.80 states/eV per cell. The total energy comes out at -32.9 eV/cell.